## a
Computed, not measured: crystalline CoRhCl2 at its relaxed geometry at the PBEsol level of DFT.

a b c (Å): 4.3058 4.3058 4.3058
angles (deg): 60.00 60.00 60.00
With the nearest neighbours (Å) after each atom.
Atoms (fractional coordinates):
Co  0.5000  0.5000  0.5000  8 Cl 2.64
Rh  0.0000  0.0000  0.0000  8 Cl 2.64
Cl  0.2500  0.2500  0.2500  4 Co 2.64, 4 Rh 2.64
Cl  0.7500  0.7500  0.7500  4 Co 2.64, 4 Rh 2.64

mass density	6846	kg/m3
total magnetic moment	3.0	μB per formula unit

=====

## b
Computed, not measured: crystalline CoRhCl2 at its relaxed geometry at the PBEsol level of DFT.

a b c (Å): 3.0568 4.2814 4.2814
angles (deg): 90.00 90.00 90.00
With the nearest neighbours (Å) after each atom.
Atoms (fractional coordinates):
Co  0.5000  0.5000  0.5000  8 Cl 2.63
Rh  0.5000  0.0000  0.0000  8 Cl 2.63
Cl  0.0000  0.0000  0.5000  4 Co 2.63, 4 Rh 2.63
Cl  0.0000  0.5000  0.0000  4 Co 2.63, 4 Rh 2.63

mass density	6898	kg/m3
total magnetic moment	2.5	μB per formula unit

=====

Consider the structures shown above. The least stable of them is a.